First-principles (PBE) data for an optimized crystal structure of Al2HgOs, as listed in Alexandria.

Summary:
ΔE_f   0.219 eV/atom

abc: 2.9393 2.9393 27.2545
angles: 90.00 90.00 120.00
Space group R3m (No. 160, hexagonal axes)
One atom of each set of equivalent atoms:
Al 0.0000 0.0000 0.0000
Al 0.0000 0.0000 0.2502
Hg 0.0000 0.0000 0.7578
Os 0.0000 0.0000 0.5149


First-principles (PBE) data for an optimized crystal structure of Ca3ZnAu2, as listed in Alexandria.

Summary:
ΔE_f   -0.601 eV/atom
Offset from the most stable computed form   25 meV per atom

abc: 3.638 3.638 11.036
angles: 90.00 90.00 90.00
Space group P4/mmm (No. 123)
One atom of each set of equivalent atoms:
Ca 0.000 0.000 0.000
Ca 0.000 0.000 0.329
Zn 0.500 0.500 0.500
Au 0.500 0.500 0.168


First-principles (PBE) data for an optimized crystal structure of V2GeS4, as listed in Alexandria.

Summary:
Formation energy (no corrections)   0.1 eV/f.u.
Offset from the most stable computed form   742 meV per atom

abc: 4.843 4.843 12.055
angles: 90.00 90.00 90.00
Space group I4/mmm (No. 139)
One atom of each set of equivalent atoms:
V 0.000 0.000 0.110
Ge 0.000 0.000 0.500
S 0.000 0.000 0.286
S 0.000 0.500 0.000